Entry 1:
Below is a relaxed AcTaMo crystal, with properties calculated at the PBE level.

The calculation puts the density at 10.90 Mg/m³. The symmetry is No. 216.

Lattice parameters (Å, degrees): 4.771 4.771 4.771 60.00 60.00 60.00
Fractional coordinates of all 3 atoms:
Ta 0.000 0.000 0.000
Mo 0.250 0.250 0.250
Ac 0.750 0.750 0.750

=====

Entry 2:
Below is a relaxed AcTcMo crystal, with properties calculated at the PBE level.

The calculation puts the density at 9.94 Mg/m³. The excess energy over the best structure of this formula in the dataset comes out at 0.000 eV per atom. The symmetry is No. 216.

Lattice parameters (Å, degrees): 4.633 4.633 4.633 60.00 60.00 60.00
Fractional coordinates of all 3 atoms:
Tc 0.000 0.000 0.000
Ac 0.500 0.500 0.500
Mo 0.250 0.250 0.250

=====

Taking the records one at a time from the top gives DFT formation energy values of 1.0608, 0.8808 eV per atom.